[1]
# Li3Si2Au4

A geometry-optimized Li3Si2Au4 structure (GGA-PBE, the Alexandria database).

Cell lengths 5.359, 5.359, 8.133 Å; angles 121.63, 121.63, 49.15 degrees
Fractional positions:
Li (0.000, 0.000, 0.000)
Li (0.336, 0.336, 0.332)
Li (0.664, 0.664, 0.668)
Si (0.403, 0.403, 0.724)
Si (0.597, 0.597, 0.276)
Au (0.069, 0.069, 0.385)
Au (0.296, 0.296, 0.934)
Au (0.704, 0.704, 0.066)
Au (0.931, 0.931, 0.615)

Calculated values
* calculated volume: 16.04 Å³/atom
* D(E_F): 0.206 states/eV/atom
* energy relative to the elements, uncorrected: -396 meV/atom
* crystal system: monoclinic
* relative energy among the computed polymorphs: 0 meV per atom


[2]
# Li2SiAu

A geometry-optimized Li2SiAu structure (GGA-PBE, the Alexandria database).

Cell lengths 4.695, 4.695, 2.883 Å; angles 90.00, 90.00, 110.90 degrees
Fractional positions:
Li (0.000, 0.500, 0.000)
Li (0.500, 0.000, 0.000)
Si (0.000, 0.000, 0.500)
Au (0.500, 0.500, 0.500)

Calculated values
* calculated volume: 14.84 Å³/atom
* D(E_F): 0.164 states/eV/atom
* energy relative to the elements, uncorrected: -322 meV/atom
* crystal system: orthorhombic


[3]
# Li2SiAu3

A geometry-optimized Li2SiAu3 structure (GGA-PBE, the Alexandria database).

Cell lengths 5.054, 5.054, 5.054 Å; angles 68.06, 68.06, 68.06 degrees
Fractional positions:
Li (0.126, 0.126, 0.126)
Li (0.874, 0.874, 0.874)
Si (0.500, 0.500, 0.500)
Au (0.000, 0.500, 0.500)
Au (0.500, 0.000, 0.500)
Au (0.500, 0.500, 0.000)

Calculated values
* calculated volume: 17.82 Å³/atom
* D(E_F): 0.271 states/eV/atom
* energy relative to the elements, uncorrected: -370 meV/atom
* crystal system: trigonal


[4]
# Li2SiAu

A geometry-optimized Li2SiAu structure (GGA-PBE, the Alexandria database).

Cell lengths 2.739, 4.038, 5.354 Å; angles 90.00, 90.90, 90.00 degrees
Fractional positions:
Li (0.000, 0.000, 0.239)
Li (0.000, 0.000, 0.761)
Si (0.500, 0.500, 0.000)
Au (0.500, 0.500, 0.500)

Calculated values
* calculated volume: 14.80 Å³/atom
* D(E_F): 0.276 states/eV/atom
* energy relative to the elements, uncorrected: -329 meV/atom
* crystal system: monoclinic


[5]
# Li2Si2Au

A geometry-optimized Li2Si2Au structure (GGA-PBE, the Alexandria database).

Cell lengths 6.474, 6.474, 6.474 Å; angles 146.88, 146.88, 47.55 degrees
Fractional positions:
Li (0.250, 0.750, 0.500)
Li (0.750, 0.250, 0.500)
Si (0.094, 0.094, 0.000)
Si (0.906, 0.906, 0.000)
Au (0.500, 0.500, 0.000)

Calculated values
* calculated volume: 16.14 Å³/atom
* D(E_F): 0.227 states/eV/atom
* energy relative to the elements, uncorrected: 14 meV/atom
* crystal system: tetragonal


[6]
# Li2SiAu

A geometry-optimized Li2SiAu structure (GGA-PBE, the Alexandria database).

Cell lengths 4.304, 4.304, 4.304 Å; angles 60.00, 60.00, 60.00 degrees
Fractional positions:
Li (0.000, 0.000, 0.000)
Li (0.250, 0.250, 0.250)
Si (0.500, 0.500, 0.500)
Au (0.750, 0.750, 0.750)

Calculated values
* calculated volume: 14.10 Å³/atom
* D(E_F): 0.296 states/eV/atom
* energy relative to the elements, uncorrected: -455 meV/atom
* crystal system: cubic


[7]
# Li2SiAu

A geometry-optimized Li2SiAu structure (GGA-PBE, the Alexandria database).

Cell lengths 3.284, 3.284, 5.737 Å; angles 90.00, 90.00, 90.00 degrees
Fractional positions:
Li (0.000, 0.000, 0.000)
Li (0.500, 0.500, 0.261)
Si (0.000, 0.000, 0.514)
Au (0.500, 0.500, 0.746)

Calculated values
* calculated volume: 15.47 Å³/atom
* D(E_F): 0.200 states/eV/atom
* energy relative to the elements, uncorrected: -194 meV/atom
* crystal system: tetragonal


[8]
# LiSiAu2

A geometry-optimized LiSiAu2 structure (GGA-PBE, the Alexandria database).

Cell lengths 6.405, 6.405, 6.405 Å; angles 154.76, 137.18, 50.36 degrees
Fractional positions:
Li (0.000, 0.000, 0.000)
Si (0.500, 0.500, 0.000)
Au (0.288, 0.288, 0.000)
Au (0.712, 0.712, 0.000)

Calculated values
* calculated volume: 18.97 Å³/atom
* D(E_F): 0.407 states/eV/atom
* energy relative to the elements, uncorrected: 29 meV/atom
* crystal system: orthorhombic


[9]
# Li2SiAu

A geometry-optimized Li2SiAu structure (GGA-PBE, the Alexandria database).

Cell lengths 2.745, 2.745, 7.977 Å; angles 90.00, 90.00, 90.00 degrees
Fractional positions:
Li (0.000, 0.000, 0.247)
Li (0.000, 0.000, 0.753)
Si (0.500, 0.500, 0.000)
Au (0.500, 0.500, 0.500)

Calculated values
* calculated volume: 15.03 Å³/atom
* D(E_F): 0.321 states/eV/atom
* energy relative to the elements, uncorrected: -325 meV/atom
* crystal system: tetragonal


[10]
# Li2SmSiAu4

A geometry-optimized Li2SmSiAu4 structure (GGA-PBE, the Alexandria database).

Cell lengths 8.981, 8.981, 8.981 Å; angles 28.69, 28.69, 28.69 degrees
Fractional positions:
Li (0.238, 0.238, 0.238)
Li (0.762, 0.762, 0.762)
Sm (0.000, 0.000, 0.000)
Si (0.500, 0.500, 0.500)
Au (0.131, 0.131, 0.131)
Au (0.399, 0.399, 0.399)
Au (0.601, 0.601, 0.601)
Au (0.869, 0.869, 0.869)

Calculated values
* calculated volume: 18.44 Å³/atom
* D(E_F): 0.296 states/eV/atom
* energy relative to the elements, uncorrected: -509 meV/atom
* crystal system: trigonal


[11]
# LiSm2Si3Au4

A geometry-optimized LiSm2Si3Au4 structure (GGA-PBE, the Alexandria database).

Cell lengths 4.347, 4.347, 10.115 Å; angles 90.00, 90.00, 90.00 degrees
Fractional positions:
Li (0.000, 0.000, 0.000)
Sm (0.000, 0.500, 0.746)
Sm (0.500, 0.000, 0.254)
Si (0.000, 0.500, 0.361)
Si (0.500, 0.000, 0.639)
Si (0.500, 0.500, 0.000)
Au (0.000, 0.000, 0.500)
Au (0.000, 0.500, 0.122)
Au (0.500, 0.000, 0.878)
Au (0.500, 0.500, 0.500)

Calculated values
* calculated volume: 19.11 Å³/atom
* D(E_F): 0.533 states/eV/atom
* energy relative to the elements, uncorrected: -634 meV/atom
* crystal system: tetragonal


[12]
# LiSmSi2Au2

A geometry-optimized LiSmSi2Au2 structure (GGA-PBE, the Alexandria database).

Cell lengths 4.317, 4.317, 6.828 Å; angles 90.00, 90.00, 120.00 degrees
Fractional positions:
Li (0.000, 0.000, 0.000)
Sm (0.000, 0.000, 0.500)
Si (0.333, 0.667, 0.217)
Si (0.667, 0.333, 0.783)
Au (0.333, 0.667, 0.811)
Au (0.667, 0.333, 0.189)

Calculated values
* calculated volume: 18.37 Å³/atom
* D(E_F): 0.625 states/eV/atom
* energy relative to the elements, uncorrected: -610 meV/atom
* crystal system: trigonal